# 1
! ZnCrW2 | Alexandria via LeMat-Bulk | GGA-PBE | relaxed; values from VASP
&SYSTEM
  ibrav = 0, nat = 4, ntyp = 3
/
ATOMIC_SPECIES
Zn 65.41 Zn.upf
Cr 52.00 Cr.upf
W 183.84 W.upf
CELL_PARAMETERS angstrom
2.656 0.000 0.000
0.000 4.286 0.000
-1.097 0.000 5.155
ATOMIC_POSITIONS angstrom
Zn 0.000 0.000 0.000
Cr 0.780 0.000 2.577
W -0.130 2.143 3.828
W 1.689 2.143 1.327
! Formation energy from the elements in eV per atom: 0.2551
! Space-group type: P2/m (10)

# 2
! Na2Tl7Bi2 | Alexandria via LeMat-Bulk | GGA-PBE | relaxed; values from VASP
&SYSTEM
  ibrav = 0, nat = 11, ntyp = 3
/
ATOMIC_SPECIES
Na 22.99 Na.upf
Tl 204.38 Tl.upf
Bi 208.98 Bi.upf
CELL_PARAMETERS angstrom
-2.495 7.408 4.818
2.495 -7.408 4.818
2.495 7.408 -4.818
ATOMIC_POSITIONS angstrom
Na 0.000 0.000 0.000
Na 0.000 7.408 1.673
Tl 2.495 2.313 -0.496
Tl 2.495 -2.347 4.011
Tl 0.000 0.000 3.669
Tl 2.495 5.117 1.787
Tl 2.495 2.347 4.011
Tl 0.000 5.096 4.322
Tl 0.000 2.291 6.606
Bi 0.000 2.892 1.769
Bi 0.000 11.924 1.769
! Formation energy from the elements in eV per atom: -0.0700
! Space-group type: Imm2 (44)
! Energy relative to the lowest polymorph listed for this composition in meV per atom: 0.0

# 3
! Nd2Hg2Au | Alexandria via LeMat-Bulk | GGA-PBE | relaxed; values from VASP
&SYSTEM
  ibrav = 0, nat = 10, ntyp = 3
/
ATOMIC_SPECIES
Nd 144.24 Nd.upf
Hg 200.59 Hg.upf
Au 196.97 Au.upf
CELL_PARAMETERS angstrom
5.613 -2.265 0.000
5.613 2.265 0.000
-4.310 0.000 10.577
ATOMIC_POSITIONS angstrom
Nd -1.248 0.000 3.592
Nd 1.548 0.000 1.221
Nd 5.369 0.000 9.356
Nd 8.165 0.000 6.985
Hg 2.113 0.000 4.605
Hg 4.629 0.000 1.161
Hg 2.288 0.000 9.416
Hg 4.804 0.000 5.972
Au 0.311 0.000 7.242
Au 6.607 0.000 3.335
! Formation energy from the elements in eV per atom: -0.5181
! Space-group type: C2/m (12)
! Energy relative to the lowest polymorph listed for this composition in meV per atom: 0.0

What did the second record say?
! Na2Tl7Bi2 | Alexandria via LeMat-Bulk | GGA-PBE | relaxed; values from VASP
&SYSTEM
  ibrav = 0, nat = 11, ntyp = 3
/
ATOMIC_SPECIES
Na 22.99 Na.upf
Tl 204.38 Tl.upf
Bi 208.98 Bi.upf
CELL_PARAMETERS angstrom
-2.495 7.408 4.818
2.495 -7.408 4.818
2.495 7.408 -4.818
ATOMIC_POSITIONS angstrom
Na 0.000 0.000 0.000
Na 0.000 7.408 1.673
Tl 2.495 2.313 -0.496
Tl 2.495 -2.347 4.011
Tl 0.000 0.000 3.669
Tl 2.495 5.117 1.787
Tl 2.495 2.347 4.011
Tl 0.000 5.096 4.322
Tl 0.000 2.291 6.606
Bi 0.000 2.892 1.769
Bi 0.000 11.924 1.769
! Formation energy from the elements in eV per atom: -0.0700
! Space-group type: Imm2 (44)
! Energy relative to the lowest polymorph listed for this composition in meV per atom: 0.0

Repeat the first record exactly.
! ZnCrW2 | Alexandria via LeMat-Bulk | GGA-PBE | relaxed; values from VASP
&SYSTEM
  ibrav = 0, nat = 4, ntyp = 3
/
ATOMIC_SPECIES
Zn 65.41 Zn.upf
Cr 52.00 Cr.upf
W 183.84 W.upf
CELL_PARAMETERS angstrom
2.656 0.000 0.000
0.000 4.286 0.000
-1.097 0.000 5.155
ATOMIC_POSITIONS angstrom
Zn 0.000 0.000 0.000
Cr 0.780 0.000 2.577
W -0.130 2.143 3.828
W 1.689 2.143 1.327
! Formation energy from the elements in eV per atom: 0.2551
! Space-group type: P2/m (10)

> Among the records above, which one has the highest formation energy from the elements?

ZnCrW2

> Which formula does entry 2 have?

Na2Tl7Bi2